{
  "formula": "Te2MoWS2",
  "functional": "PBE-GGA",
  "state": "optimized geometry",
  "dos_at_fermi_per_ev_cell": 0.85,
  "spacegroup": "No. 156",
  "vol_a3_per_atom": 23.67,
  "lattice": [[3.363, 0.000, 0.000], [-1.681, 2.912, 0.000], [0.000, 0.000, 14.502]],
  "species": ["Te", "Te", "Mo", "W", "S", "S"],
  "fractional_positions": [[0.000, 0.000, 0.000], [0.000, 0.000, 0.262], [0.000, 0.000, 0.634], [0.667, 0.333, 0.131], [0.667, 0.333, 0.530], [0.667, 0.333, 0.738]]
}


{
  "formula": "Te4MoW2S2",
  "functional": "PBE-GGA",
  "state": "optimized geometry",
  "dos_at_fermi_per_ev_cell": 3.12,
  "spacegroup": "No. 187",
  "vol_a3_per_atom": 34.36,
  "lattice": [[3.429, 0.000, 0.000], [-1.714, 2.969, 0.000], [0.000, 0.000, 30.375]],
  "species": ["Te", "Te", "Te", "Te", "Mo", "W", "W", "S", "S"],
  "fractional_positions": [[0.000, 0.000, 0.173], [0.000, 0.000, 0.296], [0.000, 0.000, 0.704], [0.000, 0.000, 0.827], [0.000, 0.000, 0.000], [0.667, 0.333, 0.234], [0.667, 0.333, 0.766], [0.667, 0.333, 0.049], [0.667, 0.333, 0.951]]
}


| no. | polymorph energy (0 for the lowest one) (eV/f.u.) |
| --- | --- |
| 1 | 0.43 |
| 2 | 0.42 |